Here is crystalline Nb3CuSb5 at its relaxed geometry from OQMD. Energies are from PBE-GGA.

The structure in extended XYZ format:
```
9
Lattice="-3.260 -4.262 1.964 1.219 0.329 -5.572 6.839 -4.668 1.221" Properties=species:S:1:pos:R:3 pbc="T T T"
Cu 0.000 0.000 0.000
Nb 1.790 -4.465 1.592
Nb 4.029 -2.169 -2.176
Nb 2.399 -4.300 -1.194
Sb -0.344 -3.702 -0.294
Sb 1.149 -2.172 -2.806
Sb 3.420 -2.334 0.610
Sb 3.650 -6.429 0.419
Sb 5.143 -4.898 -2.093
```

Calculated values
Space-group type: P6/mmm, No. 191
VASP energy, eV per cell: -53.459


Here is crystalline NbCuTcSb at its relaxed geometry from OQMD. Energies are from PBE-GGA.

The structure in extended XYZ format:
```
4
Lattice="0.000 3.196 3.196 3.196 0.000 3.196 3.196 3.196 0.000" Properties=species:S:1:pos:R:3 pbc="T T T"
Cu 4.794 4.794 4.794
Nb 3.196 3.196 3.196
Sb 0.000 0.000 0.000
Tc 1.598 1.598 1.598
```

Calculated values
Space-group type: F-43m, No. 216
Distance to the lowest polymorph of the same formula, kcal/mol of atoms: 0.00


Here is crystalline NbCuTcSb at its relaxed geometry from OQMD. Energies are from PBE-GGA.

The structure in extended XYZ format:
```
4
Lattice="0.000 3.196 3.196 3.196 0.000 3.196 3.196 3.196 0.000" Properties=species:S:1:pos:R:3 pbc="T T T"
Cu 4.794 4.794 4.794
Nb 0.000 0.000 0.000
Sb 1.598 1.598 1.598
Tc 3.196 3.196 3.196
```

Calculated values
Space-group type: F-43m, No. 216
Distance to the lowest polymorph of the same formula, kcal/mol of atoms: 2.87


Here is crystalline NbZnCuSb at its relaxed geometry from OQMD. Energies are from PBE-GGA.

The structure in extended XYZ format:
```
4
Lattice="3.640 2.287 1.743 -0.124 1.579 4.360 2.639 -1.981 3.260" Properties=species:S:1:pos:R:3 pbc="T T T"
Cu 4.617 1.413 7.023
Nb 3.078 0.942 4.682
Sb 0.000 0.000 0.000
Zn 1.539 0.471 2.341
```

Calculated values
Space-group type: F-43m, No. 216
Distance to the lowest polymorph of the same formula, kcal/mol of atoms: 4.10


Here is crystalline NbZnCuSb at its relaxed geometry from OQMD. Energies are from PBE-GGA.

The structure in extended XYZ format:
```
4
Lattice="0.000 3.264 3.264 3.264 0.000 3.264 3.264 3.264 0.000" Properties=species:S:1:pos:R:3 pbc="T T T"
Cu 4.896 4.896 4.896
Nb 1.632 1.632 1.632
Sb 0.000 0.000 0.000
Zn 3.264 3.264 3.264
```

Calculated values
Space-group type: F-43m, No. 216
Distance to the lowest polymorph of the same formula, kcal/mol of atoms: 0.00


Here is crystalline ScNbCu at its relaxed geometry from OQMD. Energies are from PBE-GGA.

The structure in extended XYZ format:
```
3
Lattice="0.000 3.076 3.076 3.076 0.000 3.076 3.076 3.076 0.000" Properties=species:S:1:pos:R:3 pbc="T T T"
Cu 0.000 0.000 0.000
Nb 1.538 1.538 1.538
Sc 4.613 4.613 4.613
```

Calculated values
Space-group type: F-43m, No. 216
Distance to the lowest polymorph of the same formula, kcal/mol of atoms: 0.00
Energy of formation from the pure elements, eV per atom: 0.45


Here is crystalline ScNb2Cu at its relaxed geometry from OQMD. Energies are from PBE-GGA.

The structure in extended XYZ format:
```
4
Lattice="-1.245 -1.023 4.334 -4.151 -1.856 0.836 -0.333 -4.416 1.328" Properties=species:S:1:pos:R:3 pbc="T T T"
Cu -1.432 -1.824 1.625
Nb 0.000 0.000 0.000
Nb -4.297 -5.472 4.874
Sc -2.864 -3.648 3.249
```

Calculated values
Space-group type: F-43m, No. 216
Energy of formation from the pure elements, eV per atom: 0.13


Here is crystalline ScNbCuSi at its relaxed geometry from OQMD. Energies are from PBE-GGA.

The structure in extended XYZ format:
```
4
Lattice="0.000 3.159 3.159 3.159 0.000 3.159 3.159 3.159 0.000" Properties=species:S:1:pos:R:3 pbc="T T T"
Cu 4.738 4.738 4.738
Nb 1.579 1.579 1.579
Sc 3.159 3.159 3.159
Si 0.000 0.000 0.000
```

Calculated values
Space-group type: F-43m, No. 216
Distance to the lowest polymorph of the same formula, kcal/mol of atoms: 0.00


Here is crystalline NbCu2Te2Se at its relaxed geometry from OQMD. Energies are from PBE-GGA.

The structure in extended XYZ format:
```
12
Lattice="-8.101 3.120 -5.022 -9.260 -0.399 -3.833 -1.843 2.758 6.365" Properties=species:S:1:pos:R:3 pbc="T T T"
Cu -9.749 1.913 -3.834
Cu -4.482 1.763 0.853
Cu -14.722 3.716 -3.343
Cu -9.455 3.566 1.344
Nb -2.598 0.550 -0.903
Nb -16.606 4.929 -1.588
Se -7.500 1.546 -2.730
Se -11.704 3.933 0.240
Te -13.389 2.610 -5.318
Te -2.102 1.267 1.703
Te -17.102 4.212 -4.193
Te -5.815 2.869 2.827
```

Calculated values
Space-group type: C2/m, No. 12
VASP energy, eV per cell: -58.145


Here is crystalline NbCu3Te3Se at its relaxed geometry from OQMD. Energies are from PBE-GGA.

The structure in extended XYZ format:
```
8
Lattice="-4.023 -3.207 -2.873 1.487 -4.772 3.121 -4.051 1.325 4.069" Properties=species:S:1:pos:R:3 pbc="T T T"
Cu -2.016 -1.616 -1.388
Cu 0.694 -2.385 1.560
Cu -2.030 0.613 2.026
Nb -0.013 -0.013 0.009
Se -1.593 -1.610 1.045
Te -2.956 -5.553 1.268
Te -5.580 -2.665 1.717
Te -2.970 -3.406 4.557
```

Calculated values
Space-group type: R3m, No. 160
VASP energy, eV per cell: -36.948


Here is crystalline NbCu3Te2Se2 at its relaxed geometry from OQMD. Energies are from PBE-GGA.

The structure in extended XYZ format:
```
8
Lattice="-3.007 1.269 4.818 -3.863 -4.094 -1.482 3.056 -3.950 2.948" Properties=species:S:1:pos:R:3 pbc="T T T"
Cu 1.538 -1.988 1.484
Cu 1.519 -3.273 5.325
Cu 1.092 -5.954 2.175
Nb 3.047 -3.939 2.940
Se -0.923 -2.991 5.504
Se -1.364 -5.758 2.254
Te -1.046 -1.787 1.663
Te -4.231 -3.096 3.210
```

Calculated values
Space-group type: Cmm2, No. 35
VASP energy, eV per cell: -37.744


Here is crystalline NbCu3TeSe3 at its relaxed geometry from OQMD. Energies are from PBE-GGA.

The structure in extended XYZ format:
```
8
Lattice="1.643 3.156 4.496 2.188 -4.717 2.415 4.977 1.045 -2.649" Properties=species:S:1:pos:R:3 pbc="T T T"
Cu 0.858 1.555 2.242
Cu 1.127 -2.332 1.215
Cu 2.504 0.513 -1.285
Nb 0.012 -0.001 0.006
Se 3.043 1.469 3.347
Se 3.319 -2.519 2.293
Se 4.731 0.400 -0.271
Te 6.425 -0.377 3.109
```

Calculated values
Space-group type: R3m, No. 160
VASP energy, eV per cell: -38.550